(1)
Material: LuTiInPd
Method: DFT, GGA-PBE
State: optimized geometry

a b c (Å): 4.8619 4.8619 4.8619
angles (deg): 60.00 60.00 60.00
Closest atoms and distances in Å follow each position.
Positions (direct):
Lu  0.0000  0.0000  0.0000  4 Pd 2.98, 4 In 2.98
Ti  0.5000  0.5000  0.5000  4 Pd 2.98, 4 In 2.98
In  0.2500  0.2500  0.2500  4 Ti 2.98, 4 Lu 2.98
Pd  0.7500  0.7500  0.7500  4 Ti 2.98, 4 Lu 2.98

Properties
As for the energy: -5.445 eV per atom.



(2)
Material: MnFe2Ag
Method: DFT, GGA-PBE
State: optimized geometry

a b c (Å): 5.2310 5.2310 5.2310
angles (deg): 104.03 104.03 121.01
Closest atoms and distances in Å follow each position.
Positions (direct):
Mn  0.0000  0.0000  0.0000  4 Fe 2.14
Mn  0.7500  0.2500  0.5000  4 Fe 2.14
Fe  0.0690  0.6250  0.9440  2 Mn 2.14
Fe  0.3750  0.3190  0.4440  2 Mn 2.14
Fe  0.6810  0.1250  0.0560  2 Mn 2.14
Fe  0.8750  0.9310  0.5560  2 Mn 2.14
Ag  0.2500  0.7500  0.5000  2 Mn 2.58, 8 Fe 2.62-2.81
Ag  0.5000  0.5000  0.0000  2 Mn 2.58, 8 Fe 2.62-2.81

Properties
The calculation puts the excess energy over the best structure of this formula in the dataset at 535 meV per atom.



DOS(E_F)? In order: 1.208; 0.309 states/eV per atom.